Compound: NaCr2As
Source: Alexandria
Functional: PBE
Structure: optimized geometry

```
NaCr2As
1.0
4.344 0.000 0.000
0.000 4.344 0.000
2.172 2.172 8.785
Cr As Na
4 2 2
Cartesian
4.490 1.086 2.196
4.199 3.258 2.196
3.258 2.027 6.589
5.431 2.318 6.589
0.000 0.000 0.000
4.344 2.172 4.393
2.172 2.172 0.000
2.172 4.344 4.393
```

energy relative to the elements: 2.89 eV/f.u.
energy: -44.6 eV for the cell shown



Compound: La2SiAg
Source: Alexandria
Functional: PBE
Structure: optimized geometry

```
La2SiAg
1.0
3.697 0.001 0.000
-0.007 3.697 0.000
0.000 0.000 8.103
Ag La Si
1 2 1
Cartesian
1.845 1.849 5.721
0.000 0.000 7.560
1.845 1.849 2.566
0.000 0.000 4.410
```

formation energy without anion corrections: -0.05 eV per atom
energy: -18.3 eV for the cell shown



Compound: Ba6HgAu2N
Source: Alexandria
Functional: PBE
Structure: optimized geometry

```
Ba6HgAu2N
1.0
7.891 0.000 0.158
0.000 8.606 0.000
0.300 0.000 11.498
Ba Hg Au N
12 2 4 2
Cartesian
2.322 5.642 0.806
6.417 7.266 6.633
5.870 2.963 10.849
1.774 1.339 5.022
2.962 6.089 5.014
7.057 6.820 10.841
5.230 2.517 6.641
1.134 1.786 0.814
6.808 4.692 2.700
3.013 8.217 8.370
1.383 3.914 8.955
5.179 0.389 3.285
3.946 0.000 0.079
0.150 4.303 5.749
0.462 7.653 2.981
4.558 5.256 8.809
7.729 0.953 8.674
3.633 3.350 2.846
4.096 0.000 5.828
0.000 4.303 0.000
```

formation energy without anion corrections: -0.47 eV per atom
energy: -62.8 eV for the cell shown



Compound: TiIrAu
Source: Alexandria
Functional: PBE
Structure: optimized geometry

```
TiIrAu
1.0
-2.723 -3.146 2.089
-0.252 -1.495 -2.580
6.015 -3.320 1.338
Ir Au Ti
2 2 2
Cartesian
1.572 -1.884 0.939
1.720 -4.581 2.488
-1.362 -1.573 1.045
-0.126 -0.748 -1.290
-0.030 -4.132 0.663
3.070 -3.829 0.184
```

energy relative to the elements: -1.44 eV/f.u.
distance to the lowest polymorph of the same formula: 52 meV per atom
energy: -43.0 eV for the cell shown



Compound: CaCoCl2
Source: Alexandria
Functional: PBE
Structure: optimized geometry

```
CaCoCl2
1.0
1.515 2.538 3.751
-2.037 4.196 1.023
-2.769 0.430 3.867
Ca Co Cl
1 1 2
Cartesian
0.000 0.000 0.000
-1.645 3.582 4.320
-0.823 1.791 2.160
-2.468 5.373 6.480
```

formation energy without anion corrections: -0.56 eV per atom
distance to the lowest polymorph of the same formula: 365 meV per atom
energy: -15.0 eV for the cell shown



Compound: Sc3HgCl
Source: Alexandria
Functional: PBE
Structure: optimized geometry

```
Sc3HgCl
1.0
4.764 0.000 0.000
0.000 4.764 0.000
0.000 0.000 4.764
Sc Hg Cl
3 1 1
Cartesian
0.000 2.382 0.000
0.000 0.000 2.382
2.382 0.000 0.000
2.382 2.382 2.382
0.000 0.000 0.000
```

formation energy without anion corrections: -0.49 eV per atom
distance to the lowest polymorph of the same formula: 0 meV per atom
energy: -23.6 eV for the cell shown



Compound: Pr2BrO
Source: Alexandria
Functional: PBE
Structure: optimized geometry

```
Pr2BrO
1.0
3.736 0.000 0.000
1.868 3.235 0.000
1.868 1.078 7.428
Pr O Br
2 1 1
Cartesian
1.868 1.078 1.356
5.604 3.235 6.072
0.000 0.000 0.000
3.736 2.157 3.714
```

formation energy without anion corrections: -1.86 eV per atom
energy: -23.6 eV for the cell shown



Compound: LiAcP2Pt5
Source: Alexandria
Functional: PBE
Structure: optimized geometry

```
LiAcP2Pt5
1.0
-2.346 -2.615 -2.357
3.051 -0.096 -2.930
3.970 -7.509 4.380
Li Ac P Pt
1 1 2 5
Cartesian
0.000 0.000 0.000
1.985 -3.755 2.190
1.382 -3.305 -1.507
3.291 -6.916 0.599
2.158 -1.245 -0.767
-0.540 -2.505 -0.480
4.862 -6.360 2.216
2.163 -7.619 2.503
2.337 -5.110 -0.454
```

energy relative to the elements: -6.35 eV/f.u.
energy: -53.4 eV for the cell shown